The following is a PBE+U calculation of an optimized crystal structure of Li2UCrF8, from the Alexandria database.

abc: 4.885 4.885 6.926
angles: 90.00 90.00 120.00
Fractional coordinates of all 12 atoms:
1 U 0.000 0.000 0.000
2 Li 0.333 0.667 0.721
3 Li 0.667 0.333 0.279
4 F 0.333 0.667 0.984
5 F 0.021 0.715 0.313
6 F 0.667 0.333 0.016
7 F 0.715 0.694 0.687
8 F 0.979 0.285 0.687
9 F 0.285 0.306 0.313
10 F 0.306 0.021 0.687
11 F 0.694 0.979 0.313
12 Cr 0.000 0.000 0.500

Computed properties:
Its raw total energy is -6.020 eV per atom. Its symmetry is No. 147. The value obtained for the calculated volume is 143 Å³/cell. As for the crystal system: trigonal.